# 1
Rb2HfCu2S4 | PBE-GGA | relaxed

Its space group is C2/m (12). The uncorrected energy is -46.25 eV per cell.

```
Rb2HfCu2S4
1.0
7.033 -1.918 0.000
7.033 1.918 0.000
-2.433 0.000 7.389
Rb Hf Cu S
2 1 2 4
direct
0.137 0.137 0.064
0.863 0.863 0.936
0.000 0.000 0.500
0.321 0.321 0.514
0.679 0.679 0.486
0.191 0.191 0.666
0.483 0.483 0.716
0.517 0.517 0.284
0.809 0.809 0.334
```

# 2
RbHfCuS4 | PBE-GGA | relaxed

Its space group is P2_1/m (11). The uncorrected energy is -75.89 eV per cell.

```
RbHfCuS4
1.0
6.678 0.000 0.000
0.000 5.141 0.000
-2.939 0.000 9.234
Rb Hf Cu S
2 2 2 8
direct
0.239 0.250 0.030
0.761 0.750 0.970
0.286 0.250 0.559
0.714 0.750 0.441
0.260 0.750 0.320
0.740 0.250 0.680
0.009 0.536 0.673
0.009 0.964 0.673
0.429 0.750 0.568
0.480 0.750 0.188
0.520 0.250 0.812
0.571 0.250 0.432
0.991 0.036 0.327
0.991 0.464 0.327
```

# 3
Rb3Hf3CuS8 | PBE-GGA | relaxed

Its space group is R-3m (166). The uncorrected energy is -89.48 eV per cell.

```
Rb3Hf3CuS8
1.0
3.755 2.168 7.743
-3.755 2.168 7.743
0.000 -4.336 7.743
Rb Hf Cu S
3 3 1 8
direct
0.000 0.500 0.500
0.500 0.000 0.500
0.500 0.500 0.000
0.000 0.000 0.500
0.000 0.500 0.000
0.500 0.000 0.000
0.500 0.500 0.500
0.217 0.731 0.731
0.229 0.229 0.229
0.269 0.269 0.783
0.269 0.783 0.269
0.731 0.217 0.731
0.731 0.731 0.217
0.771 0.771 0.771
0.783 0.269 0.269
```

# 4
Rb2Hf2CuS6 | PBE-GGA | relaxed

Its space group is C2/m (12). The uncorrected energy is -64.08 eV per cell.

```
Rb2Hf2CuS6
1.0
3.173 -5.657 0.000
3.173 5.657 0.000
-2.091 0.000 7.875
Rb Hf Cu S
2 2 1 6
direct
0.159 0.841 0.000
0.841 0.159 0.000
0.330 0.670 0.500
0.670 0.330 0.500
0.000 0.000 0.500
0.064 0.408 0.685
0.262 0.262 0.334
0.408 0.064 0.685
0.592 0.936 0.315
0.738 0.738 0.666
0.936 0.592 0.315
```